Entry 1:
SrGeF3: PBEsol geometry, meta-GGA SCAN.

Summary:
The value obtained for the magnetic moment is 1.0 μB per formula unit. The value obtained for the calculated density is 3.6 Mg/m³. The total DFT energy (no corrections) comes out at -12.68 eV/atom. The calculation puts the density of states at the Fermi level at 2.0 states/eV/cell. Its formation energy (no corrections) is -11.43 eV per formula unit.

Unit cell a=4.6307 b=4.6307 c=4.6307 alpha=90.00 beta=90.00 gamma=90.00
Sites, in units of the cell vectors:
Sr: 0.0000 0.0000 0.0000
Ge: 0.5000 0.5000 0.5000
F: 0.0000 0.0000 0.5000
F: 0.0000 0.5000 0.0000
F: 0.5000 0.0000 0.0000



Entry 2:
Ba2Si3Ni: PBEsol geometry, meta-GGA SCAN.

Summary:
The value obtained for the magnetic moment is 0.0 μB per formula unit. The value obtained for the calculated density is 4.9 Mg/m³. The total DFT energy (no corrections) comes out at -21.37 eV/atom. The calculation puts the density of states at the Fermi level at 6.9 states/eV/cell. Its formation energy (no corrections) is -2.89 eV per formula unit.

Unit cell a=11.2880 b=11.2880 c=3.8609 alpha=90.00 beta=90.00 gamma=120.00
Sites, in units of the cell vectors:
Ba: 0.0000 0.3828 0.0000
Ba: 0.0000 0.7126 0.0000
Ba: 0.2874 0.2874 0.0000
Ba: 0.3828 0.0000 0.0000
Ba: 0.6172 0.6172 0.0000
Ba: 0.7126 0.0000 0.0000
Si: 0.0000 0.1245 0.5000
Si: 0.1245 0.0000 0.5000
Si: 0.2194 0.6839 0.5000
Si: 0.3161 0.5355 0.5000
Si: 0.4645 0.7806 0.5000
Si: 0.5355 0.3161 0.5000
Si: 0.6839 0.2194 0.5000
Si: 0.7806 0.4645 0.5000
Si: 0.8755 0.8755 0.5000
Ni: 0.0000 0.0000 0.0000
Ni: 0.3333 0.6667 0.0000
Ni: 0.6667 0.3333 0.0000



Entry 3:
ZrScAl4: PBEsol geometry, meta-GGA SCAN.

Summary:
The value obtained for the magnetic moment is 0.0 μB per formula unit. The value obtained for the calculated density is 3.9 Mg/m³. The total DFT energy (no corrections) comes out at -13.20 eV/atom. The calculation puts the density of states at the Fermi level at 2.1 states/eV/cell. The value obtained for the energy of formation is -0.54 eV/atom.

Unit cell a=5.2939 b=5.2939 c=5.2939 alpha=60.00 beta=60.00 gamma=60.00
Sites, in units of the cell vectors:
Zr: 0.0000 0.0000 0.0000
Sc: 0.2500 0.2500 0.2500
Al: 0.1248 0.6251 0.6251
Al: 0.6251 0.1248 0.6251
Al: 0.6251 0.6251 0.1248
Al: 0.6251 0.6251 0.6251



Entry 4:
P2IrAu: PBEsol geometry, meta-GGA SCAN.

Summary:
The calculation puts the energy above the most stable polymorph in this dataset at 40 meV per atom. The value obtained for the magnetic moment is 0.0 μB per formula unit. The value obtained for the calculated density is 12.3 Mg/m³. The total DFT energy (no corrections) comes out at -40.16 eV/atom. The calculation puts the density of states at the Fermi level at 1.8 states/eV/cell. The value obtained for the energy of formation is 0.11 eV/atom.

Unit cell a=7.0479 b=7.0479 c=7.0479 alpha=26.43 beta=26.43 gamma=26.43
Sites, in units of the cell vectors:
P: 0.0000 0.0000 0.0000
P: 0.2505 0.2505 0.2505
Ir: 0.5176 0.5176 0.5176
Au: 0.7448 0.7448 0.7448



Entry 5:
La3CuSi: PBEsol geometry, meta-GGA SCAN.

Summary:
The value obtained for the magnetic moment is 0.0 μB per formula unit. The value obtained for the calculated density is 5.5 Mg/m³. The total DFT energy (no corrections) comes out at -30.84 eV/atom. The calculation puts the density of states at the Fermi level at 5.8 states/eV/cell. Its formation energy (no corrections) is 0.34 eV per formula unit.

Unit cell a=5.3497 b=5.3497 c=5.3497 alpha=90.00 beta=90.00 gamma=90.00
Sites, in units of the cell vectors:
La: 0.0000 0.0000 0.5000
La: 0.0000 0.5000 0.0000
La: 0.5000 0.0000 0.0000
Cu: 0.0000 0.0000 0.0000
Si: 0.5000 0.5000 0.5000



Entry 6:
TaRe2Mo: PBEsol geometry, meta-GGA SCAN.

Summary:
The calculation puts the energy above the most stable polymorph in this dataset at 0 meV per atom. The value obtained for the magnetic moment is 0.0 μB per formula unit. The value obtained for the calculated density is 17.5 Mg/m³. The total DFT energy (no corrections) comes out at -61.15 eV/atom. The calculation puts the density of states at the Fermi level at 2.6 states/eV/cell. The value obtained for the energy of formation is -0.23 eV/atom.

Unit cell a=3.1321 b=3.1321 c=6.2933 alpha=90.00 beta=90.00 gamma=90.00
Sites, in units of the cell vectors:
Ta: 0.0000 0.0000 0.0000
Re: 0.5000 0.5000 0.2522
Re: 0.5000 0.5000 0.7478
Mo: 0.0000 0.0000 0.5000



Entry 7:
BeCdP: PBEsol geometry, meta-GGA SCAN.

Summary:
The calculation puts the energy above the most stable polymorph in this dataset at 449 meV per atom. The value obtained for the magnetic moment is 0.0 μB per formula unit. The value obtained for the calculated density is 5.5 Mg/m³. The total DFT energy (no corrections) comes out at -14.63 eV/atom. The calculation puts the density of states at the Fermi level at 1.0 states/eV/cell. The value obtained for the energy of formation is 0.42 eV/atom.

Unit cell a=5.9355 b=5.9355 c=5.9355 alpha=151.90 beta=151.90 gamma=40.16
Sites, in units of the cell vectors:
Be: 0.0000 0.0000 0.0000
Cd: 0.6775 0.6775 0.0000
P: 0.4004 0.4004 0.0000



Entry 8:
KCuIr: PBEsol geometry, meta-GGA SCAN.

Summary:
The calculation puts the energy above the most stable polymorph in this dataset at 822 meV per atom. The value obtained for the magnetic moment is 1.0 μB per formula unit. The value obtained for the calculated density is 7.6 Mg/m³. The total DFT energy (no corrections) comes out at -29.29 eV/atom. The calculation puts the density of states at the Fermi level at 8.2 states/eV/cell. The value obtained for the energy of formation is 2.25 eV/atom.

Unit cell a=4.5065 b=4.5065 c=4.5065 alpha=60.00 beta=60.00 gamma=60.00
Sites, in units of the cell vectors:
K: 0.0000 0.0000 0.0000
Cu: 0.7500 0.7500 0.7500
Ir: 0.2500 0.2500 0.2500



Entry 9:
MgReAu2: PBEsol geometry, meta-GGA SCAN.

Summary:
The value obtained for the magnetic moment is 0.0 μB per formula unit. The value obtained for the calculated density is 15.6 Mg/m³. The total DFT energy (no corrections) comes out at -53.48 eV/atom. The calculation puts the density of states at the Fermi level at 1.9 states/eV/cell. The value obtained for the energy of formation is 0.11 eV/atom.

Unit cell a=9.3440 b=9.3440 c=9.3440 alpha=17.50 beta=17.50 gamma=17.50
Sites, in units of the cell vectors:
Mg: 0.0000 0.0000 0.0000
Re: 0.5000 0.5000 0.5000
Au: 0.2503 0.2503 0.2503
Au: 0.7497 0.7497 0.7497



Entry 10:
MgSbTe2: PBEsol geometry, meta-GGA SCAN.

Summary:
The calculation puts the energy above the most stable polymorph in this dataset at 303 meV per atom. The value obtained for the magnetic moment is 0.0 μB per formula unit. The value obtained for the calculated density is 5.7 Mg/m³. The total DFT energy (no corrections) comes out at -29.31 eV/atom. The calculation puts the density of states at the Fermi level at 2.1 states/eV/cell. Its formation energy (no corrections) is -0.51 eV per formula unit.

Unit cell a=9.9345 b=9.9345 c=9.9345 alpha=21.64 beta=21.64 gamma=21.64
Sites, in units of the cell vectors:
Mg: 0.0000 0.0000 0.0000
Sb: 0.5000 0.5000 0.5000
Te: 0.3981 0.3981 0.3981
Te: 0.6019 0.6019 0.6019